CuAuO2 | meta-GGA SCAN | single point on PBEsol structure

abc: 2.980 2.980 6.256
angles: 76.23 76.23 59.99
Fractional positions:
Au  0.000  0.000  0.000
Cu  0.500  0.500  0.500
O  0.889  0.889  0.333
O  0.111  0.111  0.667

Calculated values
calculated total energy	-98.97	eV/f.u.
crystal system	trigonal



CuAuO2 | meta-GGA SCAN | single point on PBEsol structure

abc: 2.808 3.194 6.111
angles: 98.79 90.00 116.08
Fractional positions:
Au  0.000  0.000  0.500
Cu  0.500  0.000  0.000
O  0.908  0.815  0.171
O  0.092  0.185  0.829

Calculated values
calculated total energy	-98.81	eV/f.u.
crystal system	monoclinic



CuOs2Au | meta-GGA SCAN | single point on PBEsol structure

abc: 2.721 4.649 4.742
angles: 100.18 106.67 90.00
Fractional positions:
Au  0.500  0.000  0.000
Cu  0.000  0.500  0.000
Os  0.255  0.265  0.511
Os  0.745  0.735  0.489

Calculated values
calculated total energy	-226.18	eV/f.u.
energy relative to the lowest polymorph listed for this composition	228.3	meV/atom
energy of formation from the pure elements	0.48	eV per atom
crystal system	monoclinic



CuOs2Au | meta-GGA SCAN | single point on PBEsol structure

abc: 3.749 3.749 4.814
angles: 112.92 112.92 90.00
Fractional positions:
Au  0.500  0.500  0.000
Cu  0.000  0.000  0.000
Os  0.750  0.250  0.500
Os  0.250  0.750  0.500

Calculated values
calculated total energy	-225.42	eV/f.u.
energy relative to the lowest polymorph listed for this composition	418.3	meV/atom
energy of formation from the pure elements	0.67	eV per atom
crystal system	tetragonal



CuOs2Au | meta-GGA SCAN | single point on PBEsol structure

abc: 3.723 3.723 4.086
angles: 90.00 90.00 90.00
Fractional positions:
Au  0.500  0.500  0.500
Cu  0.000  0.000  0.500
Os  0.000  0.500  0.000
Os  0.500  0.000  0.000

Calculated values
calculated total energy	-225.46	eV/f.u.
energy relative to the lowest polymorph listed for this composition	407.7	meV/atom
energy of formation from the pure elements	0.66	eV per atom
crystal system	tetragonal



CuOs2Au | meta-GGA SCAN | single point on PBEsol structure

abc: 2.768 2.768 7.421
angles: 90.00 90.00 90.00
Fractional positions:
Au  0.000  0.000  0.512
Cu  0.500  0.500  0.758
Os  0.000  0.000  0.002
Os  0.500  0.500  0.228

Calculated values
calculated total energy	-227.09	eV/f.u.
energy relative to the lowest polymorph listed for this composition	0.0	meV/atom
energy of formation from the pure elements	0.26	eV per atom
crystal system	tetragonal



CuOs2Au | meta-GGA SCAN | single point on PBEsol structure

abc: 2.730 4.641 4.762
angles: 98.77 90.00 107.11
Fractional positions:
Au  0.500  0.000  0.474
Cu  0.748  0.496  0.262
Os  0.997  0.995  0.974
Os  0.254  0.509  0.791

Calculated values
calculated total energy	-226.43	eV/f.u.
energy relative to the lowest polymorph listed for this composition	164.1	meV/atom
energy of formation from the pure elements	0.42	eV per atom
crystal system	monoclinic



CuOsAu2 | meta-GGA SCAN | single point on PBEsol structure

abc: 2.676 4.758 4.758
angles: 90.00 90.00 90.00
Fractional positions:
Au  0.000  0.000  0.500
Au  0.000  0.500  0.000
Cu  0.500  0.500  0.500
Os  0.500  0.000  0.000

Calculated values
calculated total energy	-223.83	eV/f.u.
energy relative to the lowest polymorph listed for this composition	0.0	meV/atom
energy of formation from the pure elements	0.39	eV per atom
crystal system	tetragonal



CuOsAu2 | meta-GGA SCAN | single point on PBEsol structure

abc: 2.685 4.762 4.748
angles: 90.00 90.00 90.00
Fractional positions:
Au  0.000  0.000  0.000
Au  0.500  0.000  0.500
Cu  0.500  0.500  0.000
Os  0.000  0.500  0.500

Calculated values
calculated total energy	-223.25	eV/f.u.
energy relative to the lowest polymorph listed for this composition	146.4	meV/atom
energy of formation from the pure elements	0.54	eV per atom
crystal system	orthorhombic



CuOsAu2 | meta-GGA SCAN | single point on PBEsol structure

abc: 4.016 3.853 3.853
angles: 90.00 90.00 90.00
Fractional positions:
Au  0.000  0.000  0.500
Au  0.000  0.500  0.000
Cu  0.500  0.500  0.500
Os  0.500  0.000  0.000

Calculated values
calculated total energy	-222.91	eV/f.u.
energy relative to the lowest polymorph listed for this composition	230.0	meV/atom
energy of formation from the pure elements	0.62	eV per atom
crystal system	tetragonal



CuP2Au | meta-GGA SCAN | single point on PBEsol structure

abc: 3.559 3.559 5.907
angles: 72.47 72.47 60.00
Fractional positions:
Au  0.500  0.500  0.500
Cu  0.000  0.000  0.000
P  0.260  0.260  0.221
P  0.740  0.740  0.779

Calculated values
calculated total energy	-104.25	eV/f.u.
energy relative to the lowest polymorph listed for this composition	284.1	meV/atom
energy of formation from the pure elements	0.23	eV per atom
crystal system	trigonal



CuP2Au | meta-GGA SCAN | single point on PBEsol structure

abc: 4.376 4.376 4.376
angles: 60.00 60.00 60.00
Fractional positions:
Au  0.000  0.000  0.000
Cu  0.500  0.500  0.500
P  0.250  0.250  0.250
P  0.750  0.750  0.750

Calculated values
calculated total energy	-102.74	eV/f.u.
energy relative to the lowest polymorph listed for this composition	661.0	meV/atom
energy of formation from the pure elements	0.60	eV per atom
crystal system	cubic



CuPAu2 | meta-GGA SCAN | single point on PBEsol structure

abc: 2.716 3.452 6.713
angles: 90.00 90.00 90.00
Fractional positions:
Au  0.000  0.000  0.775
Au  0.000  0.000  0.225
Cu  0.500  0.500  0.000
P  0.000  0.500  0.500

Calculated values
calculated total energy	-163.44	eV/f.u.
energy of formation from the pure elements	0.12	eV per atom
crystal system	orthorhombic



CuPAu2 | meta-GGA SCAN | single point on PBEsol structure

abc: 2.940 2.940 8.258
angles: 79.75 79.75 60.00
Fractional positions:
Au  0.994  0.994  0.019
Au  0.757  0.757  0.729
Cu  0.508  0.508  0.477
P  0.242  0.242  0.275

Calculated values
calculated total energy	-163.24	eV/f.u.
energy of formation from the pure elements	0.17	eV per atom
crystal system	trigonal



CuP2Au | meta-GGA SCAN | single point on PBEsol structure

abc: 3.235 5.192 4.790
angles: 113.65 90.00 108.15
Fractional positions:
P  0.754  0.508  0.849
P  0.246  0.492  0.151
Au  0.500  0.000  0.500
Cu  0.000  0.000  0.000

Calculated values
calculated total energy	-105.38	eV/f.u.
energy relative to the lowest polymorph listed for this composition	0.0	meV/atom
energy of formation from the pure elements	-0.06	eV per atom
crystal system	monoclinic



CuPAu2 | meta-GGA SCAN | single point on PBEsol structure

abc: 3.008 4.510 4.870
angles: 100.24 90.00 109.48
Fractional positions:
Au  0.751  0.501  0.748
Au  0.249  0.499  0.252
Cu  0.000  0.000  0.500
P  0.500  0.000  0.000

Calculated values
calculated total energy	-162.93	eV/f.u.
energy of formation from the pure elements	0.24	eV per atom
crystal system	monoclinic



CuPAu2 | meta-GGA SCAN | single point on PBEsol structure

abc: 2.930 2.930 8.395
angles: 79.95 79.95 60.00
Fractional positions:
Au  0.249  0.249  0.254
Au  0.751  0.751  0.746
Cu  0.500  0.500  0.500
P  0.000  0.000  0.000

Calculated values
calculated total energy	-162.88	eV/f.u.
energy of formation from the pure elements	0.26	eV per atom
crystal system	trigonal



TaCu2PbAu | meta-GGA SCAN | single point on PBEsol structure

abc: 4.682 4.682 5.430
angles: 90.00 90.00 90.00
Fractional positions:
Pb  0.000  0.000  0.500
Au  0.500  0.500  0.500
Cu  0.000  0.500  0.000
Cu  0.500  0.000  0.000
Ta  0.000  0.000  0.000

Calculated values
calculated total energy	-234.90	eV/f.u.
energy of formation from the pure elements	1.40	eV per atom
crystal system	tetragonal



Cu2Pd2Au | meta-GGA SCAN | single point on PBEsol structure

abc: 2.874 6.988 6.988
angles: 90.00 90.00 90.00
Fractional positions:
Au  0.000  0.000  0.000
Au  0.000  0.500  0.500
Cu  0.000  0.374  0.874
Cu  0.000  0.874  0.626
Cu  0.000  0.626  0.126
Cu  0.000  0.126  0.374
Pd  0.500  0.170  0.670
Pd  0.500  0.670  0.830
Pd  0.500  0.830  0.330
Pd  0.500  0.330  0.170

Calculated values
calculated total energy	-165.21	eV/f.u.
energy of formation from the pure elements	-0.02	eV per atom
crystal system	tetragonal



Cu2PdAu | meta-GGA SCAN | single point on PBEsol structure

abc: 4.241 4.241 4.241
angles: 60.00 60.00 60.00
Fractional positions:
Au  0.000  0.000  0.000
Pd  0.500  0.500  0.500
Cu  0.250  0.250  0.250
Cu  0.750  0.750  0.750

Calculated values
calculated total energy	-132.90	eV/f.u.
energy of formation from the pure elements	-0.14	eV per atom
crystal system	cubic



Number 1: calculated volume 46.25 Å³ per cell. Number 2: calculated volume 48.51 Å³ per cell. Number 3: calculated volume 56.48 Å³ per cell. Number 4: calculated volume 56.48 Å³ per cell. Number 5: calculated volume 56.62 Å³ per cell. Number 6: calculated volume 56.85 Å³ per cell. Number 7: calculated volume 56.93 Å³ per cell. Number 8: calculated volume 60.57 Å³ per cell. Number 9: calculated volume 60.70 Å³ per cell. Number 10: calculated volume 59.62 Å³ per cell. Number 11: calculated volume 60.73 Å³ per cell. Number 12: calculated volume 59.26 Å³ per cell. Number 13: calculated volume 62.92 Å³ per cell. Number 14: calculated volume 60.51 Å³ per cell. Number 15: calculated volume 69.30 Å³ per cell. Number 16: calculated volume 61.17 Å³ per cell. Number 17: calculated volume 61.12 Å³ per cell. Number 18: calculated volume 119.01 Å³ per cell. Number 19: calculated volume 140.34 Å³ per cell. Number 20: calculated volume 53.92 Å³ per cell.